! PBE Se2Br2O, relaxed; values from VASP
&SYSTEM
  ibrav = 0, nat = 5, ntyp = 3
/
ATOMIC_SPECIES
Se 78.96 Se.upf
Br 79.90 Br.upf
O 16.00 O.upf
ATOMIC_POSITIONS crystal
Se 0.1887 0.1887 0.0000
Se 0.8113 0.8113 0.0000
Br 0.2500 0.7500 0.5000
Br 0.7500 0.2500 0.5000
O 0.5000 0.5000 0.0000
CELL_PARAMETERS angstrom
-3.4543 3.4543 2.9788
3.4543 -3.4543 2.9788
3.4543 3.4543 -2.9788
! volume: 142.2 Å³ per cell
! calculated total energy: -2.789 eV per atom
! formation energy without anion corrections: 0.2658 eV/atom